Density functional theory data (PBE-GGA) for crystalline PmTlPbBr6 at its relaxed geometry.

Calculated values
DOS(E_F)	0.00	states/eV/cell
total DFT energy (no corrections)	-66.00	eV per cell
spin magnetization	0.0000	μB/atom

Cell lengths 7.719, 7.719, 14.244 Å; angles 90.00, 90.00, 120.00 degrees
Fractional coordinates of all 18 atoms:
Pm: 0.667 0.333 0.250
Br: 0.984 0.356 0.133
Br: 0.356 0.372 0.867
Br: 0.628 0.984 0.867
Pb: 0.667 0.333 0.750
Pb: 0.333 0.667 0.250
Br: 0.984 0.628 0.367
Br: 0.644 0.016 0.367
Br: 0.372 0.016 0.133
Br: 0.356 0.984 0.633
Br: 0.628 0.644 0.633
Br: 0.016 0.372 0.633
Pm: 0.333 0.667 0.750
Br: 0.016 0.644 0.867
Tl: 0.000 0.000 0.500
Br: 0.372 0.356 0.367
Br: 0.644 0.628 0.133
Tl: 0.000 0.000 0.000